#P
First-principles (PBE) data for HoGe3Ru3 after structural relaxation, as listed in Alexandria.

Computed properties:
total magnetic moment: 0.00 μB per formula unit

Cell and atoms, written as CIF:
```
data_HoGe3Ru3
_cell_length_a 6.665
_cell_length_b 6.665
_cell_length_c 6.665
_cell_angle_alpha 90.00
_cell_angle_beta 90.00
_cell_angle_gamma 90.00
_symmetry_space_group_name_H-M 'P m -3 n'
_symmetry_Int_Tables_number 223
_symmetry_space_group_name_Hall '-P 4n 2 3'
loop_
_atom_site_label
_atom_site_type_symbol
_atom_site_fract_x
_atom_site_fract_y
_atom_site_fract_z
Ho1 Ho 0.000 0.000 0.000
Ge1 Ge 0.000 0.250 0.500
Ru1 Ru 0.000 0.500 0.250
```


#Q
First-principles (PBE) data for HoGe3Ru3 after structural relaxation, as listed in Alexandria.

Computed properties:
total magnetic moment: 0.00 μB per formula unit

Cell and atoms, written as CIF:
```
data_HoGe3Ru3
_cell_length_a 6.7223
_cell_length_b 6.7223
_cell_length_c 20.1924
_cell_angle_alpha 90.00
_cell_angle_beta 90.00
_cell_angle_gamma 120.00
_symmetry_space_group_name_H-M 'R -3'
_symmetry_Int_Tables_number 148
_symmetry_space_group_name_Hall '-R 3'
loop_
_atom_site_label
_atom_site_type_symbol
_atom_site_fract_x
_atom_site_fract_y
_atom_site_fract_z
Ho1 Ho 0.0000 0.0000 0.1681
Ge1 Ge 0.0483 0.4310 0.2574
Ru1 Ru 0.0258 0.2614 0.7140
```


Relative calculated energies, zero for the most stable structure, unit meV per atom: #P 370; #Q 0.


#P
First-principles (PBE) data for Ho3Ge3Ru2 after structural relaxation, as listed in Alexandria.

Computed properties:
total magnetic moment: 0.00 μB per formula unit

Cell and atoms, written as CIF:
```
data_Ho3Ge3Ru2
_cell_length_a 4.263
_cell_length_b 10.807
_cell_length_c 13.913
_cell_angle_alpha 90.00
_cell_angle_beta 90.00
_cell_angle_gamma 90.00
_symmetry_space_group_name_H-M 'C m c m'
_symmetry_Int_Tables_number 63
_symmetry_space_group_name_Hall '-C 2c 2'
loop_
_atom_site_label
_atom_site_type_symbol
_atom_site_fract_x
_atom_site_fract_y
_atom_site_fract_z
Ho1 Ho 0.000 0.078 0.113
Ho2 Ho 0.000 0.353 0.250
Ge1 Ge 0.000 0.336 0.750
Ge2 Ge 0.000 0.384 0.041
Ru1 Ru 0.000 0.213 0.583
```


#Q
First-principles (PBE) data for Ho3Ge3Ru2 after structural relaxation, as listed in Alexandria.

Computed properties:
total magnetic moment: 0.00 μB per formula unit

Cell and atoms, written as CIF:
```
data_Ho3Ge3Ru2
_cell_length_a 8.100
_cell_length_b 14.195
_cell_length_c 5.682
_cell_angle_alpha 90.00
_cell_angle_beta 90.00
_cell_angle_gamma 90.00
_symmetry_space_group_name_H-M 'P n m a'
_symmetry_Int_Tables_number 62
_symmetry_space_group_name_Hall '-P 2ac 2n'
loop_
_atom_site_label
_atom_site_type_symbol
_atom_site_fract_x
_atom_site_fract_y
_atom_site_fract_z
Ho1 Ho 0.042 0.113 0.116
Ho2 Ho 0.183 0.250 0.631
Ge1 Ge 0.165 0.750 0.608
Ge2 Ge 0.200 0.040 0.632
Ru1 Ru 0.081 0.593 0.394
```


Relative calculated energies, zero for the most stable structure, unit meV per atom: #P 0; #Q 55.


#P
First-principles (PBE) data for YHoGeRu after structural relaxation, as listed in Alexandria.

Computed properties:
total magnetic moment: 0.00 μB per formula unit

Cell and atoms, written as CIF:
```
data_YHoGeRu
_cell_length_a 3.848
_cell_length_b 4.230
_cell_length_c 10.901
_cell_angle_alpha 90.00
_cell_angle_beta 90.00
_cell_angle_gamma 90.00
_symmetry_space_group_name_H-M 'A m m 2'
_symmetry_Int_Tables_number 38
_symmetry_space_group_name_Hall 'A 2 -2'
loop_
_atom_site_label
_atom_site_type_symbol
_atom_site_fract_x
_atom_site_fract_y
_atom_site_fract_z
Y1 Y 0.000 0.000 0.000
Ho1 Ho 0.500 0.000 0.718
Ge1 Ge 0.500 0.000 0.423
Ru1 Ru 0.000 0.000 0.269
```


#Q
First-principles (PBE) data for YHoGeRu after structural relaxation, as listed in Alexandria.

Computed properties:
total magnetic moment: 0.00 μB per formula unit

Cell and atoms, written as CIF:
```
data_YHoGeRu
_cell_length_a 6.962
_cell_length_b 6.962
_cell_length_c 6.962
_cell_angle_alpha 90.00
_cell_angle_beta 90.00
_cell_angle_gamma 90.00
_symmetry_space_group_name_H-M 'F -4 3 m'
_symmetry_Int_Tables_number 216
_symmetry_space_group_name_Hall 'F -4 2 3'
loop_
_atom_site_label
_atom_site_type_symbol
_atom_site_fract_x
_atom_site_fract_y
_atom_site_fract_z
Y1 Y 0.000 0.000 0.000
Ho1 Ho 0.000 0.000 0.500
Ge1 Ge 0.250 0.250 0.750
Ru1 Ru 0.250 0.250 0.250
```


Relative calculated energies, zero for the most stable structure, unit meV per atom: #P 0; #Q 151.


#P
First-principles (PBE) data for Ho2GeS after structural relaxation, as listed in Alexandria.

Computed properties:
total magnetic moment: 0.00 μB per formula unit

Cell and atoms, written as CIF:
```
data_Ho2GeS
_cell_length_a 3.9696
_cell_length_b 3.9696
_cell_length_c 20.8787
_cell_angle_alpha 90.00
_cell_angle_beta 90.00
_cell_angle_gamma 120.00
_symmetry_space_group_name_H-M 'R 3 m'
_symmetry_Int_Tables_number 160
_symmetry_space_group_name_Hall 'R 3 -2"'
loop_
_atom_site_label
_atom_site_type_symbol
_atom_site_fract_x
_atom_site_fract_y
_atom_site_fract_z
Ho1 Ho 0.0000 0.0000 0.0000
Ho2 Ho 0.0000 0.0000 0.1741
Ge1 Ge 0.0000 0.0000 0.5866
S1 S 0.0000 0.0000 0.7568
```


#Q
First-principles (PBE) data for Ho2GeS after structural relaxation, as listed in Alexandria.

Computed properties:
total magnetic moment: 0.00 μB per formula unit

Cell and atoms, written as CIF:
```
data_Ho2GeS
_cell_length_a 5.686
_cell_length_b 5.686
_cell_length_c 11.380
_cell_angle_alpha 90.00
_cell_angle_beta 90.00
_cell_angle_gamma 90.00
_symmetry_space_group_name_H-M 'I 41/a m d'
_symmetry_Int_Tables_number 141
loop_
_symmetry_equiv_pos_as_xyz
'x,y,z'
'-x,-y,-z'
'-y+1/4,x+3/4,z+1/4'
'y+1/4,-x+3/4,-z+1/4'
'-x+1/2,-y,z+1/2'
'x+1/2,y,-z+1/2'
'y+1/4,-x+1/4,z+3/4'
'-y+1/4,x+1/4,-z+3/4'
'x,-y,-z'
'-x,y,z'
'-y+1/4,-x+1/4,-z+3/4'
'y+1/4,x+1/4,z+3/4'
'-x+1/2,y,-z+1/2'
'x+1/2,-y,z+1/2'
'y+1/4,x+3/4,-z+1/4'
'-y+1/4,-x+3/4,z+1/4'
'x+1/2,y+1/2,z+1/2'
'-x+1/2,-y+1/2,-z+1/2'
'-y+3/4,x+1/4,z+3/4'
'y+3/4,-x+1/4,-z+3/4'
'-x,-y+1/2,z'
'x,y+1/2,-z'
'y+3/4,-x+3/4,z+1/4'
'-y+3/4,x+3/4,-z+1/4'
'x+1/2,-y+1/2,-z+1/2'
'-x+1/2,y+1/2,z+1/2'
'-y+3/4,-x+3/4,-z+1/4'
'y+3/4,x+3/4,z+1/4'
'-x,y+1/2,-z'
'x,-y+1/2,z'
'y+3/4,x+1/4,-z+3/4'
'-y+3/4,-x+1/4,z+3/4'
loop_
_atom_site_label
_atom_site_type_symbol
_atom_site_fract_x
_atom_site_fract_y
_atom_site_fract_z
Ho1 Ho 0.000 0.250 0.123
Ge1 Ge 0.000 0.250 0.375
S1 S 0.000 0.250 0.875
```


#R
First-principles (PBE) data for Ho2GeS after structural relaxation, as listed in Alexandria.

Computed properties:
total magnetic moment: 0.00 μB per formula unit

Cell and atoms, written as CIF:
```
data_Ho2GeS
_cell_length_a 4.0207
_cell_length_b 4.0207
_cell_length_c 19.8124
_cell_angle_alpha 90.00
_cell_angle_beta 90.00
_cell_angle_gamma 120.00
_symmetry_space_group_name_H-M 'R -3 m'
_symmetry_Int_Tables_number 166
_symmetry_space_group_name_Hall '-R 3 2"'
loop_
_atom_site_label
_atom_site_type_symbol
_atom_site_fract_x
_atom_site_fract_y
_atom_site_fract_z
Ho1 Ho 0.0000 0.0000 0.2503
Ge1 Ge 0.0000 0.0000 0.0000
S1 S 0.0000 0.0000 0.5000
```


Relative calculated energies, zero for the most stable structure, unit meV per atom: #P 187; #Q 0; #R 42.


#P
First-principles (PBE) data for Ho2ScGe2 after structural relaxation, as listed in Alexandria.

Computed properties:
total magnetic moment: 0.00 μB per formula unit

Cell and atoms, written as CIF:
```
data_Ho2ScGe2
_cell_length_a 11.801
_cell_length_b 4.275
_cell_length_c 10.324
_cell_angle_alpha 90.00
_cell_angle_beta 117.32
_cell_angle_gamma 90.00
_symmetry_space_group_name_H-M 'C 1 2/m 1'
_symmetry_Int_Tables_number 12
_symmetry_space_group_name_Hall '-C 2y'
loop_
_atom_site_label
_atom_site_type_symbol
_atom_site_fract_x
_atom_site_fract_y
_atom_site_fract_z
Ho1 Ho 0.016 0.000 0.185
Ho2 Ho 0.182 0.000 0.593
Sc1 Sc 0.222 0.500 0.867
Ge1 Ge 0.018 0.500 0.386
Ge2 Ge 0.125 0.500 0.066
```


#Q
First-principles (PBE) data for Ho2ScGe2 after structural relaxation, as listed in Alexandria.

Computed properties:
total magnetic moment: 0.00 μB per formula unit

Cell and atoms, written as CIF:
```
data_Ho2ScGe2
_cell_length_a 4.232
_cell_length_b 6.116
_cell_length_c 8.863
_cell_angle_alpha 90.00
_cell_angle_beta 90.00
_cell_angle_gamma 90.00
_symmetry_space_group_name_H-M 'I m m m'
_symmetry_Int_Tables_number 71
_symmetry_space_group_name_Hall '-I 2 2'
loop_
_atom_site_label
_atom_site_type_symbol
_atom_site_fract_x
_atom_site_fract_y
_atom_site_fract_z
Ho1 Ho 0.000 0.000 0.200
Sc1 Sc 0.000 0.500 0.000
Ge1 Ge 0.000 0.283 0.500
```


Relative calculated energies, zero for the most stable structure, unit meV per atom: #P 7; #Q 0.